# PBE MgCdRu2C, relaxed
data_MgCdRu2C
_cell_length_a 4.075
_cell_length_b 4.075
_cell_length_c 4.344
_cell_angle_alpha 90.00
_cell_angle_beta 90.00
_cell_angle_gamma 90.00
_symmetry_space_group_name_H-M 'P 4/m m m'
_symmetry_Int_Tables_number 123
_symmetry_space_group_name_Hall '-P 4 2'
loop_
_atom_site_label
_atom_site_fract_x
_atom_site_fract_y
_atom_site_fract_z
Mg1 0.000 0.000 0.000
Cd1 0.500 0.500 0.000
Ru1 0.000 0.500 0.500
C1 0.000 0.000 0.500
# ΔE_f	0.11	eV per atom
# calculated total energy	-29.7	eV per formula unit
# N(E_F)	4.7	states/eV per cell



# PBE Mg2ScCdC, relaxed
data_Mg2ScCdC
_cell_length_a 4.473
_cell_length_b 4.473
_cell_length_c 4.542
_cell_angle_alpha 90.00
_cell_angle_beta 90.00
_cell_angle_gamma 90.00
_symmetry_space_group_name_H-M 'P 4/m m m'
_symmetry_Int_Tables_number 123
_symmetry_space_group_name_Hall '-P 4 2'
loop_
_atom_site_label
_atom_site_fract_x
_atom_site_fract_y
_atom_site_fract_z
Mg1 0.000 0.500 0.000
Sc1 0.000 0.000 0.500
Cd1 0.500 0.500 0.500
C1 0.000 0.000 0.000
# ΔE_f	-0.08	eV per atom
# calculated total energy	-20.1	eV per formula unit
# N(E_F)	4.0	states/eV per cell



# PBE SrMgCdC2, relaxed
data_SrMgCdC2
_cell_length_a 4.760
_cell_length_b 4.760
_cell_length_c 5.938
_cell_angle_alpha 90.00
_cell_angle_beta 90.00
_cell_angle_gamma 90.00
_symmetry_space_group_name_H-M 'P 4/m m m'
_symmetry_Int_Tables_number 123
_symmetry_space_group_name_Hall '-P 4 2'
loop_
_atom_site_label
_atom_site_fract_x
_atom_site_fract_y
_atom_site_fract_z
Sr1 0.000 0.000 0.000
Mg1 0.500 0.500 0.500
Cd1 0.000 0.000 0.500
C1 0.000 0.500 0.000
# ΔE_f	2.33	eV per atom
# calculated total energy	-11.0	eV per formula unit
# N(E_F)	3.7	states/eV per cell